i | Material: ZnAsOs3
Method: DFT, PBE
State: relaxed

Cell: 4.5202 4.5202 4.5202 Å, 90.00 90.00 90.00°
Positions (direct):
Zn: 0.0000 0.0000 0.0000
As: 0.5000 0.5000 0.5000
Os: 0.0000 0.5000 0.5000
Os: 0.5000 0.0000 0.5000
Os: 0.5000 0.5000 0.0000

Results
The calculation puts the density at 12783 kg/m³.


ii | Material: ZnAsOs3
Method: DFT, PBE
State: relaxed

Cell: 4.5068 4.5068 4.5068 Å, 90.00 90.00 90.00°
Positions (direct):
Zn: 0.0000 0.0000 0.0000
As: 0.5000 0.5000 0.5000
Os: 0.0000 0.0000 0.5000
Os: 0.0000 0.5000 0.0000
Os: 0.5000 0.0000 0.0000

Results
The calculation puts the density at 12898 kg/m³.


Energies relative to the most stable structure are i 0.0; ii 57.0, reported in kJ/mol of atoms.


i | Material: AsP
Method: DFT, PBE
State: relaxed

Cell: 4.4472 4.4472 5.4849 Å, 90.00 90.00 120.00°
Positions (direct):
As: 0.3333 0.6667 0.0000
As: 0.6667 0.3333 0.5000
P: 0.3333 0.6667 0.5702
P: 0.6667 0.3333 0.0702

Results
The calculation puts the density at 3744 kg/m³.


ii | Material: AsP
Method: DFT, PBE
State: relaxed

Cell: 3.2256 3.2256 3.2256 Å, 90.00 90.00 90.00°
Positions (direct):
As: 0.0000 0.0000 0.0000
P: 0.5000 0.5000 0.5000

Results
The calculation puts the density at 5240 kg/m³.


Energies relative to the most stable structure are i 0.0; ii 33.5, reported in kJ/mol of atoms.


i | Material: AsP3
Method: DFT, PBE
State: relaxed

Cell: 3.5162 5.1947 3.8908 Å, 90.00 90.00 90.00°
Positions (direct):
As: 0.0000 0.0000 0.0000
P: 0.0000 0.5000 0.8843
P: 0.5000 0.0000 0.4113
P: 0.5000 0.5000 0.5083

Results
The calculation puts the density at 3922 kg/m³.


ii | Material: AsP3
Method: DFT, PBE
State: relaxed

Cell: 7.9698 7.9698 7.9698 Å, 155.65 155.65 34.71°
Positions (direct):
As: 0.0000 0.0000 0.0000
P: 0.2500 0.7500 0.5000
P: 0.5000 0.5000 0.0000
P: 0.7500 0.2500 0.5000

Results
The calculation puts the density at 3241 kg/m³.


Energies relative to the most stable structure are i 0.0; ii 49.3, reported in kJ/mol of atoms.